1.
# ZnRe2Rh

A geometry-optimized ZnRe2Rh structure (GGA-PBE, Alexandria via LeMat-Bulk). Values from VASP.

Quantum ESPRESSO input file:
```
&SYSTEM
  ibrav = 0, nat = 4, ntyp = 3
/
ATOMIC_SPECIES
Zn 65.41 Zn.upf
Re 186.21 Re.upf
Rh 102.91 Rh.upf
ATOMIC_POSITIONS angstrom
Zn 0.000 0.000 0.000
Re 0.000 0.000 3.771
Re 0.000 1.960 1.885
Rh 1.960 0.000 1.885
CELL_PARAMETERS angstrom
-1.960 1.960 3.771
1.960 -1.960 3.771
1.960 1.960 -3.771
```

Computed properties:
V   14.5 A^3/atom
VASP energy   -8.247 eV/atom
Fermi-level density of states   0.971 states/eV/atom
Formation energy from the elements   0.13 eV per atom
Excess energy over the best structure of this formula in the dataset   155 meV/atom

=====

2.
# ZnRe2Rh

A geometry-optimized ZnRe2Rh structure (GGA-PBE, Alexandria via LeMat-Bulk). Values from VASP.

Quantum ESPRESSO input file:
```
&SYSTEM
  ibrav = 0, nat = 4, ntyp = 3
/
ATOMIC_SPECIES
Zn 65.41 Zn.upf
Re 186.21 Re.upf
Rh 102.91 Rh.upf
ATOMIC_POSITIONS angstrom
Zn 0.000 0.000 0.000
Re 0.000 2.330 1.349
Re 2.330 0.000 1.349
Rh 2.330 2.330 0.000
CELL_PARAMETERS angstrom
4.659 0.000 0.000
0.000 4.659 0.000
0.000 0.000 2.698
```

Computed properties:
V   14.6 A^3/atom
VASP energy   -7.963 eV/atom
Fermi-level density of states   0.828 states/eV/atom
Formation energy from the elements   0.42 eV per atom
Excess energy over the best structure of this formula in the dataset   439 meV/atom

=====

3.
# ZnRe2Rh

A geometry-optimized ZnRe2Rh structure (GGA-PBE, Alexandria via LeMat-Bulk). Values from VASP.

Quantum ESPRESSO input file:
```
&SYSTEM
  ibrav = 0, nat = 8, ntyp = 3
/
ATOMIC_SPECIES
Zn 65.41 Zn.upf
Re 186.21 Re.upf
Rh 102.91 Rh.upf
ATOMIC_POSITIONS angstrom
Zn 0.000 0.000 0.000
Zn 0.000 2.835 2.677
Re 1.417 -1.365 4.016
Re 1.470 1.417 1.339
Re 1.417 4.200 -1.339
Re 1.365 1.417 6.693
Rh 2.835 0.000 2.677
Rh 0.000 0.000 5.354
CELL_PARAMETERS angstrom
-2.835 2.835 5.354
2.835 -2.835 5.354
2.835 2.835 -5.354
```

Computed properties:
V   21.5 A^3/atom
VASP energy   -6.543 eV/atom
Fermi-level density of states   1.000 states/eV/atom
Formation energy from the elements   1.84 eV per atom
Excess energy over the best structure of this formula in the dataset   1860 meV/atom

=====

4.
# ZnReRh2

A geometry-optimized ZnReRh2 structure (GGA-PBE, Alexandria via LeMat-Bulk). Values from VASP.

Quantum ESPRESSO input file:
```
&SYSTEM
  ibrav = 0, nat = 4, ntyp = 3
/
ATOMIC_SPECIES
Zn 65.41 Zn.upf
Re 186.21 Re.upf
Rh 102.91 Rh.upf
ATOMIC_POSITIONS angstrom
Zn 0.000 0.000 0.000
Re 0.000 0.000 19.860
Rh 0.000 0.000 6.673
Rh 0.000 0.000 13.163
CELL_PARAMETERS angstrom
1.378 0.796 8.785
-1.378 0.796 8.785
0.000 -1.591 8.785
```

Computed properties:
V   14.4 A^3/atom
VASP energy   -7.120 eV/atom
Fermi-level density of states   1.411 states/eV/atom
Formation energy from the elements   -0.01 eV per atom
Excess energy over the best structure of this formula in the dataset   261 meV/atom

=====

5.
# ZnRe2Rh

A geometry-optimized ZnRe2Rh structure (GGA-PBE, Alexandria via LeMat-Bulk). Values from VASP.

Quantum ESPRESSO input file:
```
&SYSTEM
  ibrav = 0, nat = 4, ntyp = 3
/
ATOMIC_SPECIES
Zn 65.41 Zn.upf
Re 186.21 Re.upf
Rh 102.91 Rh.upf
ATOMIC_POSITIONS angstrom
Zn 0.000 0.000 0.000
Re 1.704 0.000 3.421
Re 4.049 0.000 2.406
Rh 6.671 0.000 0.990
CELL_PARAMETERS angstrom
4.531 -1.343 0.000
4.531 1.343 0.000
-0.701 0.000 4.809
```

Computed properties:
V   14.6 A^3/atom
VASP energy   -8.295 eV/atom
Fermi-level density of states   1.010 states/eV/atom
Formation energy from the elements   0.08 eV per atom
Excess energy over the best structure of this formula in the dataset   107 meV/atom

=====

6.
# ZnReRh2

A geometry-optimized ZnReRh2 structure (GGA-PBE, Alexandria via LeMat-Bulk). Values from VASP.

Quantum ESPRESSO input file:
```
&SYSTEM
  ibrav = 0, nat = 4, ntyp = 3
/
ATOMIC_SPECIES
Zn 65.41 Zn.upf
Re 186.21 Re.upf
Rh 102.91 Rh.upf
ATOMIC_POSITIONS angstrom
Zn 0.000 0.000 0.000
Re 0.000 0.000 3.660
Rh 1.391 1.391 1.823
Rh 1.391 1.391 5.496
CELL_PARAMETERS angstrom
2.781 0.000 0.000
0.000 2.781 0.000
0.000 0.000 7.319
```

Computed properties:
V   14.2 A^3/atom
VASP energy   -7.381 eV/atom
Fermi-level density of states   0.743 states/eV/atom
Formation energy from the elements   -0.27 eV per atom
Excess energy over the best structure of this formula in the dataset   0 meV/atom

=====

7.
# ZnReRh2

A geometry-optimized ZnReRh2 structure (GGA-PBE, Alexandria via LeMat-Bulk). Values from VASP.

Quantum ESPRESSO input file:
```
&SYSTEM
  ibrav = 0, nat = 4, ntyp = 3
/
ATOMIC_SPECIES
Zn 65.41 Zn.upf
Re 186.21 Re.upf
Rh 102.91 Rh.upf
ATOMIC_POSITIONS angstrom
Zn 0.000 0.000 0.000
Re 4.594 4.594 4.594
Rh 1.531 1.531 1.531
Rh 3.062 3.062 3.062
CELL_PARAMETERS angstrom
0.000 3.062 3.062
3.062 0.000 3.062
3.062 3.062 0.000
```

Computed properties:
V   14.4 A^3/atom
VASP energy   -6.899 eV/atom
Fermi-level density of states   1.723 states/eV/atom
Formation energy from the elements   0.21 eV per atom
Excess energy over the best structure of this formula in the dataset   482 meV/atom

=====

8.
# ZnReRh6

A geometry-optimized ZnReRh6 structure (GGA-PBE, Alexandria via LeMat-Bulk). Values from VASP.

Quantum ESPRESSO input file:
```
&SYSTEM
  ibrav = 0, nat = 8, ntyp = 3
/
ATOMIC_SPECIES
Zn 65.41 Zn.upf
Re 186.21 Re.upf
Rh 102.91 Rh.upf
ATOMIC_POSITIONS angstrom
Zn 0.000 0.000 0.000
Re 0.000 0.000 3.846
Rh 0.000 1.922 1.966
Rh 0.000 1.922 5.725
Rh 1.922 0.000 1.966
Rh 1.922 0.000 5.725
Rh 1.922 1.922 0.000
Rh 1.922 1.922 3.846
CELL_PARAMETERS angstrom
3.844 0.000 0.000
0.000 3.844 0.000
0.000 0.000 7.691
```

Computed properties:
V   14.2 A^3/atom
VASP energy   -7.380 eV/atom
Fermi-level density of states   1.046 states/eV/atom
Formation energy from the elements   -0.15 eV per atom

=====

9.
# ZnReRh2

A geometry-optimized ZnReRh2 structure (GGA-PBE, Alexandria via LeMat-Bulk). Values from VASP.

Quantum ESPRESSO input file:
```
&SYSTEM
  ibrav = 0, nat = 4, ntyp = 3
/
ATOMIC_SPECIES
Zn 65.41 Zn.upf
Re 186.21 Re.upf
Rh 102.91 Rh.upf
ATOMIC_POSITIONS angstrom
Zn 0.000 0.000 0.000
Re 2.286 2.286 0.000
Rh 0.000 2.286 1.389
Rh 2.286 0.000 1.389
CELL_PARAMETERS angstrom
4.572 0.000 0.000
0.000 4.572 0.000
0.000 0.000 2.777
```

Computed properties:
V   14.5 A^3/atom
VASP energy   -7.070 eV/atom
Fermi-level density of states   1.245 states/eV/atom
Formation energy from the elements   0.04 eV per atom
Excess energy over the best structure of this formula in the dataset   311 meV/atom

=====

10.
# Zn2ReRh

A geometry-optimized Zn2ReRh structure (GGA-PBE, Alexandria via LeMat-Bulk). Values from VASP.

Quantum ESPRESSO input file:
```
&SYSTEM
  ibrav = 0, nat = 4, ntyp = 3
/
ATOMIC_SPECIES
Zn 65.41 Zn.upf
Re 186.21 Re.upf
Rh 102.91 Rh.upf
ATOMIC_POSITIONS angstrom
Zn 0.000 0.000 6.391
Zn 0.000 0.000 19.417
Re 0.000 0.000 0.000
Rh 0.000 0.000 12.904
CELL_PARAMETERS angstrom
1.389 0.802 8.603
-1.389 0.802 8.603
0.000 -1.604 8.603
```

Computed properties:
V   14.4 A^3/atom
VASP energy   -5.576 eV/atom
Fermi-level density of states   0.797 states/eV/atom
Formation energy from the elements   0.01 eV per atom
Excess energy over the best structure of this formula in the dataset   91 meV/atom

=====

11.
# ZnRe2Rh

A geometry-optimized ZnRe2Rh structure (GGA-PBE, Alexandria via LeMat-Bulk). Values from VASP.

Quantum ESPRESSO input file:
```
&SYSTEM
  ibrav = 0, nat = 4, ntyp = 3
/
ATOMIC_SPECIES
Zn 65.41 Zn.upf
Re 186.21 Re.upf
Rh 102.91 Rh.upf
ATOMIC_POSITIONS angstrom
Zn 0.000 0.000 0.000
Re 0.000 0.000 3.749
Re 1.402 1.402 1.921
Rh 1.402 1.402 5.606
CELL_PARAMETERS angstrom
2.803 0.000 0.000
0.000 2.803 0.000
0.000 0.000 7.386
```

Computed properties:
V   14.5 A^3/atom
VASP energy   -8.395 eV/atom
Fermi-level density of states   0.747 states/eV/atom
Formation energy from the elements   -0.01 eV per atom
Excess energy over the best structure of this formula in the dataset   8 meV/atom

=====

12.
# Zr2ReRh

A geometry-optimized Zr2ReRh structure (GGA-PBE, Alexandria via LeMat-Bulk). Values from VASP.

Quantum ESPRESSO input file:
```
&SYSTEM
  ibrav = 0, nat = 4, ntyp = 3
/
ATOMIC_SPECIES
Zr 91.22 Zr.upf
Re 186.21 Re.upf
Rh 102.91 Rh.upf
ATOMIC_POSITIONS angstrom
Zr 1.651 1.651 1.651
Zr 4.952 4.952 4.952
Re 0.000 0.000 0.000
Rh 3.301 3.301 3.301
CELL_PARAMETERS angstrom
0.000 3.301 3.301
3.301 0.000 3.301
3.301 3.301 0.000
```

Computed properties:
V   18.0 A^3/atom
VASP energy   -9.774 eV/atom
Fermi-level density of states   0.066 states/eV/atom
Formation energy from the elements   -0.55 eV per atom

=====

13.
# Zr3Re2Rh

A geometry-optimized Zr3Re2Rh structure (GGA-PBE, Alexandria via LeMat-Bulk). Values from VASP.

Quantum ESPRESSO input file:
```
&SYSTEM
  ibrav = 0, nat = 6, ntyp = 3
/
ATOMIC_SPECIES
Zr 91.22 Zr.upf
Re 186.21 Re.upf
Rh 102.91 Rh.upf
ATOMIC_POSITIONS angstrom
Zr 0.000 0.000 0.000
Zr 0.000 0.000 3.266
Zr 0.000 0.000 6.617
Re 1.655 1.655 1.683
Re 1.655 1.655 8.200
Rh 1.655 1.655 4.942
CELL_PARAMETERS angstrom
3.311 0.000 0.000
0.000 3.311 0.000
0.000 0.000 9.883
```

Computed properties:
V   18.1 A^3/atom
VASP energy   -10.100 eV/atom
Fermi-level density of states   0.608 states/eV/atom
Formation energy from the elements   -0.45 eV per atom

=====

14.
# Zr5ReRh4

A geometry-optimized Zr5ReRh4 structure (GGA-PBE, Alexandria via LeMat-Bulk). Values from VASP.

Quantum ESPRESSO input file:
```
&SYSTEM
  ibrav = 0, nat = 10, ntyp = 3
/
ATOMIC_SPECIES
Zr 91.22 Zr.upf
Re 186.21 Re.upf
Rh 102.91 Rh.upf
ATOMIC_POSITIONS angstrom
Zr 0.000 0.000 0.000
Zr 0.000 0.000 3.253
Zr 0.000 0.000 6.547
Zr 0.000 0.000 9.752
Zr 0.000 0.000 13.046
Re 1.661 1.661 8.149
Rh 1.661 1.661 1.641
Rh 1.661 1.661 4.848
Rh 1.661 1.661 11.451
Rh 1.661 1.661 14.658
CELL_PARAMETERS angstrom
3.322 0.000 0.000
0.000 3.322 0.000
0.000 0.000 16.299
```

Computed properties:
V   18.0 A^3/atom
VASP energy   -9.149 eV/atom
Fermi-level density of states   0.595 states/eV/atom
Formation energy from the elements   -0.69 eV per atom

=====

15.
# ZrReRh

A geometry-optimized ZrReRh structure (GGA-PBE, Alexandria via LeMat-Bulk). Values from VASP.

Quantum ESPRESSO input file:
```
&SYSTEM
  ibrav = 0, nat = 3, ntyp = 3
/
ATOMIC_SPECIES
Zr 91.22 Zr.upf
Re 186.21 Re.upf
Rh 102.91 Rh.upf
ATOMIC_POSITIONS angstrom
Zr 0.000 0.000 0.000
Re 3.084 3.084 3.084
Rh 4.626 4.626 4.626
CELL_PARAMETERS angstrom
0.000 3.084 3.084
3.084 0.000 3.084
3.084 3.084 0.000
```

Computed properties:
V   19.6 A^3/atom
VASP energy   -9.106 eV/atom
Fermi-level density of states   1.766 states/eV/atom
Formation energy from the elements   0.34 eV per atom
Excess energy over the best structure of this formula in the dataset   551 meV/atom